Below is a geometry-optimized SmErTm2Sc4 structure, with properties calculated at the PBE level.

Unit cell a=9.061 b=9.061 c=6.485 alpha=110.96 beta=110.96 gamma=88.51
Atoms (fractional coordinates):
Sm: 0.000 0.000 0.000
Sm: 0.000 0.000 0.500
Er: 0.000 0.500 0.000
Er: 0.500 0.000 0.500
Tm: 0.000 0.500 0.500
Tm: 0.500 0.000 0.000
Tm: 0.500 0.500 0.000
Tm: 0.500 0.500 0.500
Sc: 0.252 0.253 0.505
Sc: 0.253 0.252 0.005
Sc: 0.253 0.747 0.000
Sc: 0.253 0.747 0.500
Sc: 0.747 0.253 0.000
Sc: 0.747 0.253 0.500
Sc: 0.747 0.748 0.995
Sc: 0.748 0.747 0.495

Summary:
**Magnetic moment**: 3.76 μB/f.u.
**Formation energy from the elements**: 433 meV/atom



Below is a geometry-optimized SmEr2TmSc4 structure, with properties calculated at the PBE level.

Unit cell a=4.864 b=4.864 c=9.359 alpha=90.00 beta=90.00 gamma=90.00
Atoms (fractional coordinates):
Sm: 0.000 0.000 0.000
Er: 0.000 0.000 0.500
Er: 0.500 0.500 0.000
Tm: 0.500 0.500 0.500
Sc: 0.000 0.500 0.252
Sc: 0.000 0.500 0.748
Sc: 0.500 0.000 0.252
Sc: 0.500 0.000 0.748

Summary:
**Magnetic moment**: 0.00 μB/f.u.
**Formation energy from the elements**: 54 meV/atom



Below is a geometry-optimized Sm3ErTm6Sc2 structure, with properties calculated at the PBE level.

Unit cell a=6.052 b=6.052 c=11.521 alpha=95.02 beta=95.02 gamma=119.97
Atoms (fractional coordinates):
Sm: 0.000 0.000 0.000
Sm: 0.333 0.667 0.000
Sm: 0.667 0.333 0.000
Er: 0.500 0.500 0.500
Tm: 0.083 0.419 0.258
Tm: 0.246 0.246 0.742
Tm: 0.419 0.083 0.258
Tm: 0.581 0.917 0.742
Tm: 0.754 0.754 0.258
Tm: 0.917 0.581 0.742
Sc: 0.167 0.833 0.500
Sc: 0.833 0.167 0.500

Summary:
**Magnetic moment**: 0.00 μB/f.u.
**Formation energy from the elements**: 40 meV/atom



Below is a geometry-optimized Sm6Er3TmSc2 structure, with properties calculated at the PBE level.

Unit cell a=6.128 b=6.128 c=11.549 alpha=95.06 beta=95.06 gamma=119.97
Atoms (fractional coordinates):
Sm: 0.082 0.418 0.755
Sm: 0.246 0.246 0.245
Sm: 0.418 0.082 0.755
Sm: 0.582 0.918 0.245
Sm: 0.754 0.754 0.755
Sm: 0.918 0.582 0.245
Er: 0.000 0.000 0.500
Er: 0.333 0.667 0.500
Er: 0.667 0.333 0.500
Tm: 0.500 0.500 0.000
Sc: 0.167 0.833 0.000
Sc: 0.833 0.167 0.000

Summary:
**Magnetic moment**: 0.00 μB/f.u.
**Formation energy from the elements**: 35 meV/atom



Below is a geometry-optimized SmEr2Tm5Sc structure, with properties calculated at the PBE level.

Unit cell a=10.142 b=10.142 c=10.276 alpha=90.00 beta=90.00 gamma=148.60
Atoms (fractional coordinates):
Sm: 0.087 0.913 0.500
Sm: 0.913 0.087 0.000
Er: 0.386 0.614 0.782
Er: 0.389 0.611 0.361
Er: 0.611 0.389 0.861
Er: 0.614 0.386 0.282
Tm: 0.020 0.980 0.785
Tm: 0.121 0.879 0.068
Tm: 0.201 0.799 0.753
Tm: 0.223 0.777 0.367
Tm: 0.482 0.518 0.068
Tm: 0.518 0.482 0.568
Tm: 0.777 0.223 0.867
Tm: 0.799 0.201 0.253
Tm: 0.879 0.121 0.568
Tm: 0.980 0.020 0.285
Sc: 0.303 0.697 0.061
Sc: 0.697 0.303 0.561

Summary:
**Magnetic moment**: 0.00 μB/f.u.
**Formation energy from the elements**: 175 meV/atom



Below is a geometry-optimized SmEr5Tm2Sc structure, with properties calculated at the PBE level.

Unit cell a=10.167 b=10.167 c=10.298 alpha=90.00 beta=90.00 gamma=148.62
Atoms (fractional coordinates):
Sm: 0.088 0.912 0.500
Sm: 0.912 0.088 0.000
Er: 0.020 0.980 0.786
Er: 0.121 0.879 0.069
Er: 0.201 0.799 0.753
Er: 0.223 0.777 0.368
Er: 0.482 0.518 0.067
Er: 0.518 0.482 0.567
Er: 0.777 0.223 0.868
Er: 0.799 0.201 0.253
Er: 0.879 0.121 0.569
Er: 0.980 0.020 0.286
Tm: 0.387 0.613 0.784
Tm: 0.389 0.611 0.361
Tm: 0.611 0.389 0.861
Tm: 0.613 0.387 0.284
Sc: 0.304 0.696 0.062
Sc: 0.696 0.304 0.562

Summary:
**Magnetic moment**: 0.00 μB/f.u.
**Formation energy from the elements**: 176 meV/atom



Below is a geometry-optimized Sm5ErTm2Sc structure, with properties calculated at the PBE level.

Unit cell a=11.153 b=11.153 c=10.134 alpha=90.00 beta=90.00 gamma=152.50
Atoms (fractional coordinates):
Sm: 0.000 0.000 0.000
Sm: 0.000 0.000 0.500
Sm: 0.126 0.874 0.750
Sm: 0.221 0.779 0.062
Sm: 0.221 0.779 0.438
Sm: 0.499 0.501 0.250
Sm: 0.501 0.499 0.750
Sm: 0.779 0.221 0.562
Sm: 0.779 0.221 0.938
Sm: 0.874 0.126 0.250
Er: 0.101 0.899 0.250
Er: 0.899 0.101 0.750
Tm: 0.384 0.616 0.502
Tm: 0.384 0.616 0.998
Tm: 0.616 0.384 0.002
Tm: 0.616 0.384 0.498
Sc: 0.285 0.715 0.750
Sc: 0.715 0.285 0.250

Summary:
**Magnetic moment**: 0.00 μB/f.u.
**Formation energy from the elements**: 132 meV/atom



Below is a geometry-optimized Sm2ErTm2Sc2 structure, with properties calculated at the PBE level.

Unit cell a=11.318 b=3.407 c=11.484 alpha=90.00 beta=108.67 gamma=90.00
Atoms (fractional coordinates):
Sm: 0.172 0.000 0.089
Sm: 0.328 0.500 0.911
Sm: 0.672 0.500 0.089
Sm: 0.828 0.000 0.911
Er: 0.000 0.500 0.500
Er: 0.500 0.000 0.500
Tm: 0.046 0.000 0.767
Tm: 0.454 0.500 0.233
Tm: 0.546 0.500 0.767
Tm: 0.954 0.000 0.233
Sc: 0.229 0.500 0.369
Sc: 0.271 0.000 0.631
Sc: 0.729 0.000 0.369
Sc: 0.771 0.500 0.631

Summary:
**Magnetic moment**: 0.00 μB/f.u.
**Formation energy from the elements**: 108 meV/atom



Below is a geometry-optimized Sm5ErTmSc2 structure, with properties calculated at the PBE level.

Unit cell a=10.419 b=10.419 c=10.398 alpha=90.00 beta=90.00 gamma=149.41
Atoms (fractional coordinates):
Sm: 0.012 0.988 0.500
Sm: 0.274 0.726 0.196
Sm: 0.301 0.699 0.804
Sm: 0.381 0.619 0.492
Sm: 0.482 0.518 0.771
Sm: 0.518 0.482 0.271
Sm: 0.619 0.381 0.992
Sm: 0.699 0.301 0.304
Sm: 0.726 0.274 0.696
Sm: 0.988 0.012 0.000
Er: 0.193 0.807 0.499
Er: 0.807 0.193 0.999
Tm: 0.407 0.593 0.059
Tm: 0.593 0.407 0.559
Sc: 0.112 0.888 0.213
Sc: 0.114 0.886 0.771
Sc: 0.886 0.114 0.271
Sc: 0.888 0.112 0.713

Summary:
**Magnetic moment**: 0.00 μB/f.u.
**Formation energy from the elements**: 173 meV/atom



Below is a geometry-optimized SmEr3Tm6Sc2 structure, with properties calculated at the PBE level.

Unit cell a=5.999 b=5.999 c=11.502 alpha=94.97 beta=94.97 gamma=119.94
Atoms (fractional coordinates):
Sm: 0.000 0.000 0.000
Er: 0.167 0.833 0.500
Er: 0.500 0.500 0.500
Er: 0.833 0.167 0.500
Tm: 0.083 0.418 0.247
Tm: 0.253 0.253 0.753
Tm: 0.418 0.083 0.247
Tm: 0.582 0.917 0.753
Tm: 0.747 0.747 0.247
Tm: 0.917 0.582 0.753
Sc: 0.333 0.667 0.000
Sc: 0.667 0.333 0.000

Summary:
**Magnetic moment**: 0.00 μB/f.u.
**Formation energy from the elements**: 39 meV/atom



Below is a geometry-optimized Sm6Er2Tm3Sc structure, with properties calculated at the PBE level.

Unit cell a=6.153 b=6.153 c=11.625 alpha=95.04 beta=95.04 gamma=119.98
Atoms (fractional coordinates):
Sm: 0.083 0.413 0.748
Sm: 0.248 0.248 0.252
Sm: 0.413 0.083 0.748
Sm: 0.587 0.917 0.252
Sm: 0.752 0.752 0.748
Sm: 0.917 0.587 0.252
Er: 0.333 0.667 0.500
Er: 0.667 0.333 0.500
Tm: 0.167 0.833 0.000
Tm: 0.500 0.500 0.000
Tm: 0.833 0.167 0.000
Sc: 0.000 0.000 0.500

Summary:
**Magnetic moment**: 0.00 μB/f.u.
**Formation energy from the elements**: 26 meV/atom



Below is a geometry-optimized SmEr2TmSc structure, with properties calculated at the PBE level.

Unit cell a=8.550 b=8.550 c=6.283 alpha=90.00 beta=90.00 gamma=136.91
Atoms (fractional coordinates):
Sm: 0.161 0.839 0.750
Sm: 0.839 0.161 0.250
Er: 0.252 0.252 0.000
Er: 0.252 0.252 0.500
Er: 0.748 0.748 0.000
Er: 0.748 0.748 0.500
Tm: 0.250 0.750 0.250
Tm: 0.750 0.250 0.750
Sc: 0.346 0.654 0.750
Sc: 0.654 0.346 0.250

Summary:
**Magnetic moment**: 0.00 μB/f.u.
**Formation energy from the elements**: 379 meV/atom



Below is a geometry-optimized Sm2Er2TmSc2 structure, with properties calculated at the PBE level.

Unit cell a=15.329 b=3.427 c=11.311 alpha=90.00 beta=131.81 gamma=90.00
Atoms (fractional coordinates):
Sm: 0.218 0.000 0.347
Sm: 0.282 0.500 0.653
Sm: 0.718 0.500 0.347
Sm: 0.782 0.000 0.653
Er: 0.013 0.500 0.695
Er: 0.487 0.000 0.305
Er: 0.513 0.000 0.695
Er: 0.987 0.500 0.305
Tm: 0.000 0.500 0.000
Tm: 0.500 0.000 0.000
Sc: 0.197 0.000 0.046
Sc: 0.303 0.500 0.954
Sc: 0.697 0.500 0.046
Sc: 0.803 0.000 0.954

Summary:
**Magnetic moment**: 0.00 μB/f.u.
**Formation energy from the elements**: 231 meV/atom



Below is a geometry-optimized Sm2ErTm5Sc structure, with properties calculated at the PBE level.

Unit cell a=9.759 b=9.759 c=9.759 alpha=128.86 beta=128.86 gamma=75.23
Atoms (fractional coordinates):
Sm: 0.119 0.619 0.738
Sm: 0.381 0.119 0.500
Sm: 0.619 0.881 0.500
Sm: 0.881 0.381 0.262
Er: 0.250 0.250 0.000
Er: 0.750 0.750 0.000
Tm: 0.000 0.000 0.000
Tm: 0.067 0.148 0.500
Tm: 0.148 0.648 0.082
Tm: 0.352 0.433 0.500
Tm: 0.433 0.933 0.082
Tm: 0.500 0.500 0.000
Tm: 0.567 0.067 0.918
Tm: 0.648 0.567 0.500
Tm: 0.852 0.352 0.918
Tm: 0.933 0.852 0.500
Sc: 0.250 0.750 0.500
Sc: 0.750 0.250 0.500

Summary:
**Magnetic moment**: 0.00 μB/f.u.
**Formation energy from the elements**: 285 meV/atom



Below is a geometry-optimized Sm3Er6TmSc2 structure, with properties calculated at the PBE level.

Unit cell a=6.066 b=6.066 c=11.550 alpha=95.02 beta=95.02 gamma=119.97
Atoms (fractional coordinates):
Sm: 0.000 0.000 0.000
Sm: 0.333 0.667 0.000
Sm: 0.667 0.333 0.000
Er: 0.084 0.419 0.258
Er: 0.245 0.245 0.742
Er: 0.419 0.084 0.258
Er: 0.581 0.916 0.742
Er: 0.755 0.755 0.258
Er: 0.916 0.581 0.742
Tm: 0.500 0.500 0.500
Sc: 0.167 0.833 0.500
Sc: 0.833 0.167 0.500

Summary:
**Magnetic moment**: 0.00 μB/f.u.
**Formation energy from the elements**: 39 meV/atom



Below is a geometry-optimized Sm3Er6Tm2Sc structure, with properties calculated at the PBE level.

Unit cell a=6.092 b=6.092 c=11.627 alpha=95.00 beta=95.00 gamma=119.96
Atoms (fractional coordinates):
Sm: 0.000 0.000 0.000
Sm: 0.333 0.667 0.000
Sm: 0.667 0.333 0.000
Er: 0.088 0.419 0.256
Er: 0.250 0.250 0.744
Er: 0.419 0.088 0.256
Er: 0.581 0.912 0.744
Er: 0.750 0.750 0.256
Er: 0.912 0.581 0.744
Tm: 0.167 0.833 0.500
Tm: 0.833 0.167 0.500
Sc: 0.500 0.500 0.500

Summary:
**Magnetic moment**: 0.00 μB/f.u.
**Formation energy from the elements**: 31 meV/atom



Below is a geometry-optimized Sm2Er2TmSc structure, with properties calculated at the PBE level.

Unit cell a=5.567 b=10.741 c=6.188 alpha=90.00 beta=90.00 gamma=90.00
Atoms (fractional coordinates):
Sm: 0.000 0.083 0.000
Sm: 0.000 0.917 0.500
Sm: 0.500 0.257 0.167
Sm: 0.500 0.743 0.667
Er: 0.000 0.422 0.993
Er: 0.000 0.578 0.493
Er: 0.500 0.088 0.665
Er: 0.500 0.912 0.165
Tm: 0.000 0.256 0.504
Tm: 0.000 0.744 0.004
Sc: 0.500 0.419 0.665
Sc: 0.500 0.581 0.165

Summary:
**Magnetic moment**: 0.00 μB/f.u.
**Formation energy from the elements**: 28 meV/atom



Below is a geometry-optimized SmErTm3Sc structure, with properties calculated at the PBE level.

Unit cell a=7.771 b=7.771 c=9.847 alpha=90.00 beta=90.00 gamma=143.13
Atoms (fractional coordinates):
Sm: 0.002 0.998 0.750
Sm: 0.998 0.002 0.250
Er: 0.500 0.500 0.000
Er: 0.500 0.500 0.500
Tm: 0.168 0.832 0.000
Tm: 0.168 0.832 0.500
Tm: 0.331 0.669 0.750
Tm: 0.669 0.331 0.250
Tm: 0.832 0.168 0.000
Tm: 0.832 0.168 0.500
Sc: 0.332 0.668 0.250
Sc: 0.668 0.332 0.750

Summary:
**Magnetic moment**: 0.00 μB/f.u.
**Formation energy from the elements**: 39 meV/atom



Below is a geometry-optimized SmEr2Tm2Sc structure, with properties calculated at the PBE level.

Unit cell a=6.488 b=17.170 c=3.316 alpha=90.00 beta=90.00 gamma=90.00
Atoms (fractional coordinates):
Sm: 0.000 0.000 0.000
Sm: 0.500 0.500 0.500
Er: 0.246 0.320 0.000
Er: 0.254 0.820 0.500
Er: 0.746 0.180 0.500
Er: 0.754 0.680 0.000
Tm: 0.246 0.148 0.500
Tm: 0.254 0.648 0.000
Tm: 0.746 0.352 0.000
Tm: 0.754 0.852 0.500
Sc: 0.000 0.500 0.000
Sc: 0.500 0.000 0.500

Summary:
**Magnetic moment**: 0.00 μB/f.u.
**Formation energy from the elements**: 286 meV/atom



Below is a geometry-optimized Sm2ErTmSc structure, with properties calculated at the PBE level.

Unit cell a=8.525 b=8.525 c=6.372 alpha=90.00 beta=90.00 gamma=136.13
Atoms (fractional coordinates):
Sm: 0.249 0.249 0.000
Sm: 0.249 0.249 0.500
Sm: 0.751 0.751 0.000
Sm: 0.751 0.751 0.500
Er: 0.340 0.660 0.750
Er: 0.660 0.340 0.250
Tm: 0.250 0.750 0.250
Tm: 0.750 0.250 0.750
Sc: 0.155 0.845 0.750
Sc: 0.845 0.155 0.250

Summary:
**Magnetic moment**: 0.00 μB/f.u.
**Formation energy from the elements**: 393 meV/atom